First-principles (GGA+U) data for an optimized crystal structure of TiFe3O, as listed in Alexandria.

POSCAR file:
```
TiFe3O
1.0
-0.730 -2.999 2.854
3.654 0.896 1.876
-1.946 2.807 2.451
Fe O Ti
3 1 1
Direct
0.000 0.500 0.000 Fe
0.000 0.000 0.500 Fe
0.500 0.000 0.000 Fe
0.000 0.000 0.000 O
0.500 0.500 0.500 Ti
```

Results
- Mass density: 5171 kg/m³
- E_tot: -29.2 eV per cell
- Energy above the most stable polymorph in this dataset: 0 meV/atom